Computed, not measured: In2MoP after structural relaxation at the GGA-PBE level of DFT.

## Properties
The calculation puts the formation energy from the elements at 487 meV per atom. The calculation puts the total magnetization at 0.000 μB per atom. As for the crystal system: orthorhombic.

a b c (Å): 5.3902 5.3902 5.3902
angles (deg): 141.46 130.02 64.83
Last column: nearest neighbours and their distance in Å.
Element x y z (fractional)
In: 0.2359 0.2359 0.0000  2 P 2.79, 4 In 2.90, 2 Mo 2.99
In: 0.7641 0.7641 0.0000  2 P 2.79, 4 In 2.90, 2 Mo 2.99
Mo: 0.5000 0.0000 0.5000  4 P 2.89, 8 In 2.99-3.13
P: 0.0000 0.5000 0.5000  4 In 2.79, 4 Mo 2.89